No. 1
First-principles (GGA-PBEsol) data for a relaxed structure of BeReTc2, as listed in the Alexandria database.

Lattice parameters (Å, degrees): 2.6993 3.8431 5.0397 90.00 90.13 90.00
Last column: nearest neighbours and their distance in Å.
Fractional coordinates of all 4 atoms:
Be1 0.0000 0.0000 0.0000  6 Tc 2.52-2.62, 4 Re 2.64, 2 Be 2.70
Re1 0.4992 0.5000 0.2395  1 Tc 2.37, 4 Be 2.64
Tc1 0.9999 0.0000 0.5003  2 Be 2.52, 4 Re 2.69, 6 Tc 2.70-2.71
Tc2 0.5004 0.5000 0.7684  1 Re 2.37, 4 Be 2.62

* SG: No. 6
* crystal system: monoclinic
* DOS(E_F): 2.8 states/eV per cell
* ΔE_f: 0.26 eV/f.u.
* raw total energy: -9.9005 eV per atom

=====

No. 2
First-principles (GGA-PBEsol) data for a relaxed structure of CaTc2Br, as listed in the Alexandria database.

Lattice parameters (Å, degrees): 3.0756 3.0756 7.5068 90.00 90.00 90.00
Last column: nearest neighbours and their distance in Å.
Fractional coordinates of all 4 atoms:
Ca1 0.0000 0.0000 0.0000  4 Ca 3.08, 8 Tc 3.16
Tc1 0.5000 0.5000 0.3049  4 Br 2.62, 1 Tc 2.93
Tc2 0.5000 0.5000 0.6951  4 Br 2.62, 1 Tc 2.93
Br1 0.0000 0.0000 0.5000  8 Tc 2.62

* SG: No. 123
* crystal system: tetragonal
* DOS(E_F): 5.7 states/eV per cell
* E above lowest polymorph: 0 meV/atom
* energy relative to the elements, uncorrected: 0.981 eV per atom
* raw total energy: -5.6532 eV per atom

=====

No. 3
First-principles (GGA-PBEsol) data for a relaxed structure of InGe2AsPd, as listed in the Alexandria database.

Lattice parameters (Å, degrees): 5.0525 5.0525 4.8931 90.00 90.00 90.00
Last column: nearest neighbours and their distance in Å.
Fractional coordinates of all 5 atoms:
In1 0.0000 0.0000 0.0000  2 Pd 2.45, 4 Ge 2.53
Ge1 0.0000 0.5000 0.0000  2 In 2.53
Ge2 0.5000 0.0000 0.0000  2 In 2.53
As1 0.5000 0.5000 0.5000  8 Ge 3.52, 4 Pd 3.57
Pd1 0.0000 0.0000 0.5000  2 In 2.45

* SG: No. 123
* crystal system: tetragonal
* DOS(E_F): 4.0 states/eV per cell
* ΔE_f: 5.08 eV/f.u.
* raw total energy: -3.7685 eV per atom

=====

No. 4
First-principles (GGA-PBEsol) data for a relaxed structure of DyVO3, as listed in the Alexandria database.

Lattice parameters (Å, degrees): 5.5855 7.5152 5.1931 90.00 90.00 90.00
Last column: nearest neighbours and their distance in Å.
Fractional coordinates of all 20 atoms:
Dy1 0.0717 0.2500 0.0208  6 O 2.22-2.46
Dy2 0.4283 0.7500 0.5208  6 O 2.22-2.46
Dy3 0.5717 0.2500 0.4792  6 O 2.22-2.46
Dy4 0.9283 0.7500 0.9792  6 O 2.22-2.46
V1 0.0000 0.0000 0.5000  6 O 1.98-2.01
V2 0.0000 0.5000 0.5000  6 O 1.98-2.01
V3 0.5000 0.0000 0.0000  6 O 1.98-2.01
V4 0.5000 0.5000 0.0000  6 O 1.98-2.01
O1 0.0389 0.7500 0.3891  2 V 1.98
O2 0.1970 0.5556 0.8092  2 V 1.99-2.01
O3 0.1970 0.9444 0.8092  2 V 1.99-2.01
O4 0.3030 0.0556 0.3092  2 V 1.99-2.01
O5 0.3030 0.4444 0.3092  2 V 1.99-2.01
O6 0.4611 0.2500 0.8891  2 V 1.98
O7 0.5389 0.7500 0.1109  2 V 1.98
O8 0.6970 0.5556 0.6908  2 V 1.99-2.01
O9 0.6970 0.9444 0.6908  2 V 1.99-2.01
O10 0.8030 0.0556 0.1908  2 V 1.99-2.01
O11 0.8030 0.4444 0.1908  2 V 1.99-2.01
O12 0.9611 0.2500 0.6109  2 V 1.98

* SG: No. 62
* crystal system: orthorhombic
* DOS(E_F): 11.9 states/eV per cell
* energy relative to the elements, uncorrected: -2.998 eV per atom
* raw total energy: -9.0700 eV per atom

=====

No. 5
First-principles (GGA-PBEsol) data for a relaxed structure of CdInIr, as listed in the Alexandria database.

Lattice parameters (Å, degrees): 3.0457 3.0457 11.9850 90.00 90.00 90.00
Last column: nearest neighbours and their distance in Å.
Fractional coordinates of all 6 atoms:
Cd1 0.0000 0.0000 0.0000  4 Ir 2.82, 4 Cd 3.05
Cd2 0.5000 0.5000 0.5000  4 Ir 2.82, 4 Cd 3.05
In1 0.0000 0.0000 0.7060  4 Ir 2.74, 4 In 3.05
In2 0.5000 0.5000 0.2060  4 Ir 2.74, 4 In 3.05
Ir1 0.0000 0.0000 0.3476  4 In 2.74, 4 Cd 2.82, 4 Ir 3.05
Ir2 0.5000 0.5000 0.8476  4 In 2.74, 4 Cd 2.82, 4 Ir 3.05

* SG: No. 107
* crystal system: tetragonal
* DOS(E_F): 2.3 states/eV per cell
* ΔE_f: 0.31 eV/f.u.
* raw total energy: -4.5628 eV per atom

=====

No. 6
First-principles (GGA-PBEsol) data for a relaxed structure of Tc2SbTeMo, as listed in the Alexandria database.

Lattice parameters (Å, degrees): 4.6933 4.6933 5.0615 90.00 90.00 90.00
Last column: nearest neighbours and their distance in Å.
Fractional coordinates of all 5 atoms:
Tc1 0.0000 0.5000 0.0000  2 Mo 2.35
Tc2 0.5000 0.0000 0.0000  2 Mo 2.35
Sb1 0.0000 0.0000 0.5000  2 Mo 2.53
Te1 0.5000 0.5000 0.5000  4 Sb 3.32, 8 Tc 3.45
Mo1 0.0000 0.0000 0.0000  4 Tc 2.35, 2 Sb 2.53

* SG: No. 123
* crystal system: tetragonal
* DOS(E_F): 5.9 states/eV per cell
* energy relative to the elements, uncorrected: 1.417 eV per atom
* raw total energy: -7.0595 eV per atom

=====

Q: Which of these has the highest raw total energy?
A: InGe2AsPd